# 1
VASP calculation (PBE) on an optimized crystal structure of SmZnInO3.

The electronic total energy is -127.2 eV for the cell shown. The volume comes out at 14.97 Å³/atom.

It has space group Cmcm (No. 63), with a = 3.470 Å, b = 12.968 Å, c = 7.983 Å, α = 90.00°, β = 90.00° and γ = 90.00°. The asymmetric unit holds Sm at (0.000, 0.000, 0.000), Zn at (0.000, 0.386, 0.250), In at (0.000, 0.298, 0.750), O at (0.000, 0.107, 0.250) and O at (0.000, 0.168, 0.588).

***

# 2
VASP calculation (PBE) on an optimized crystal structure of ScCoSi2Ni.

The electronic total energy is -67.5 eV for the cell shown. The volume comes out at 13.73 Å³/atom.

It has space group I-4m2 (No. 119), with a = 3.770 Å, b = 3.770 Å, c = 9.658 Å, α = 90.00°, β = 90.00° and γ = 90.00°. The asymmetric unit holds Sc at (0.000, 0.000, 0.000), Co at (0.000, 0.500, 0.750), Si at (0.000, 0.000, 0.379) and Ni at (0.000, 0.500, 0.250).